No. 1
Entry from Alexandria via LeMat-Bulk: an optimized crystal structure of AsC2 (GGA-PBEsol).

Geometry as POSCAR:
```
AsC2
1.0
7.175 0.000 0.000
-3.587 6.214 0.000
0.000 0.000 2.513
As C
3 6
direct
0.000 0.000 0.000
0.333 0.667 0.500
0.667 0.333 0.500
0.000 0.275 0.000
0.000 0.365 0.500
0.275 0.000 0.000
0.365 0.000 0.500
0.635 0.635 0.500
0.725 0.725 0.000
```

Calculated values
**Energy above the most stable polymorph in this dataset**: 0 meV per atom
**Energy of formation**: 0.912 eV per atom
**Raw total energy**: -64.97 eV/cell

No. 2
Entry from Alexandria via LeMat-Bulk: an optimized crystal structure of Mg3P4H28N2O24 (GGA-PBEsol).

Geometry as POSCAR:
```
Mg3P4H28N2O24
1.0
6.680 0.000 0.000
-1.031 7.499 0.000
-1.171 -3.067 10.136
Mg P H N O
3 4 28 2 24
direct
0.000 0.000 0.000
0.342 0.765 0.599
0.658 0.235 0.401
0.199 0.301 0.466
0.252 0.656 0.869
0.748 0.344 0.131
0.801 0.699 0.534
0.019 0.766 0.727
0.099 0.812 0.414
0.159 0.372 0.726
0.170 0.438 0.178
0.188 0.272 0.905
0.265 0.049 0.235
0.290 0.116 0.653
0.290 0.877 0.110
0.297 0.639 0.291
0.297 0.960 0.414
0.313 0.068 0.788
0.338 0.589 0.130
0.382 0.215 0.976
0.424 0.458 0.228
0.576 0.542 0.772
0.618 0.785 0.024
0.662 0.411 0.870
0.687 0.932 0.212
0.703 0.040 0.586
0.703 0.361 0.709
0.710 0.123 0.890
0.710 0.884 0.347
0.735 0.951 0.765
0.812 0.728 0.095
0.830 0.562 0.822
0.841 0.628 0.274
0.901 0.188 0.586
0.981 0.234 0.273
0.308 0.532 0.207
0.692 0.468 0.793
0.017 0.768 0.630
0.065 0.758 0.868
0.149 0.253 0.593
0.160 0.438 0.827
0.199 0.968 0.146
0.232 0.169 0.939
0.253 0.832 0.424
0.272 0.504 0.483
0.347 0.176 0.402
0.368 0.045 0.703
0.373 0.704 0.009
0.386 0.689 0.768
0.614 0.311 0.232
0.627 0.296 0.991
0.632 0.955 0.297
0.653 0.824 0.598
0.728 0.496 0.517
0.747 0.168 0.576
0.768 0.831 0.061
0.801 0.032 0.854
0.840 0.562 0.173
0.851 0.747 0.407
0.935 0.242 0.132
0.983 0.232 0.370
```

Calculated values
**Raw total energy**: -354.59 eV/cell